# 1
The following is a PBE calculation of an optimized crystal structure of Rb2Ba2Li, from Alexandria via LeMat-Bulk.

Cell and atoms, written as CIF:
```
data_Rb2Ba2Li
_chemical_formula_sum 'Rb4 Ba4 Li2'
_cell_length_a 9.313
_cell_length_b 9.313
_cell_length_c 7.440
_cell_angle_alpha 90.00
_cell_angle_beta 90.00
_cell_angle_gamma 90.00
_space_group_name_H-M_alt 'P 4/m b m'
_space_group_IT_number 127
_space_group_name_Hall '-P 4 2ab'
loop_
_atom_site_label
_atom_site_fract_x
_atom_site_fract_y
_atom_site_fract_z
Rb1 0.146 0.354 0.000
Ba1 0.181 0.681 0.500
Li1 0.000 0.000 0.000
```

Summary:
As for the energy of formation from the pure elements: 0.26 eV per atom.

---

# 2
The following is a PBE calculation of an optimized crystal structure of CeCu2Cl8, from Alexandria via LeMat-Bulk.

Cell and atoms, written as CIF:
```
data_CeCu2Cl8
_chemical_formula_sum 'Ce2 Cu4 Cl16'
_cell_length_a 6.734
_cell_length_b 6.734
_cell_length_c 12.081
_cell_angle_alpha 90.00
_cell_angle_beta 90.00
_cell_angle_gamma 90.00
_space_group_name_H-M_alt 'I 4 2 2'
_space_group_IT_number 97
_space_group_name_Hall 'I 4 2'
loop_
_atom_site_label
_atom_site_fract_x
_atom_site_fract_y
_atom_site_fract_z
Ce1 0.000 0.000 0.000
Cu1 0.000 0.500 0.250
Cl1 0.162 0.318 0.881
```

Summary:
For the formation energy (no corrections), the calculation gives -1.066 eV per atom.

---

In the order shown, the computed M_tot values come out to 0.000 1.440 μB/f.u..
In the order shown, the computed E values come out to -12.8 -81.3 eV per cell.